Material: CdSb2WO
Method: DFT, GGA+U
State: optimized geometry

## Properties
DFT total energy ... -3.417 eV per atom
SG ... No. 123

abc: 5.652 5.652 3.944
angles: 90.00 90.00 90.00
Element x y z (fractional)
Cd  0.000  0.000  0.000
Sb  0.000  0.500  0.000
Sb  0.500  0.000  0.000
W  0.500  0.500  0.500
O  0.000  0.000  0.500

***

Material: CdSbWO6
Method: DFT, GGA+U
State: optimized geometry

## Properties
DFT total energy ... -6.242 eV per atom
SG ... No. 102

abc: 4.840 4.840 9.790
angles: 90.00 90.00 90.00
Element x y z (fractional)
Cd  0.000  0.000  0.000
Cd  0.500  0.500  0.500
Sb  0.000  0.000  0.334
Sb  0.500  0.500  0.834
W  0.000  0.000  0.666
W  0.500  0.500  0.166
O  0.178  0.178  0.502
O  0.210  0.210  0.819
O  0.214  0.214  0.186
O  0.286  0.714  0.686
O  0.290  0.710  0.319
O  0.322  0.678  0.002
O  0.678  0.322  0.002
O  0.710  0.290  0.319
O  0.714  0.286  0.686
O  0.786  0.786  0.186
O  0.790  0.790  0.819
O  0.822  0.822  0.502

***

Per-record size of the total moment, Bohr magnetons per cell: 3.53; 2.00
Per-record density of states at the Fermi level, states/eV per cell: 3.47; 0.00